(1)
! Ac2Tm | Alexandria via LeMat-Bulk | GGA-PBE | optimized geometry; values from VASP
! E_form	418	meV/atom
! space group	Fd-3m (227)
! volume	42.31	A^3/atom
! magnetic moment	0.0000	μB per atom
&SYSTEM
  ibrav = 0, nat = 6, ntyp = 2
/
ATOMIC_SPECIES
Ac 227.00 Ac.upf
Tm 168.93 Tm.upf
ATOMIC_POSITIONS crystal
Ac 0.6250 0.6250 0.6250
Ac 0.6250 0.6250 0.1250
Ac 0.6250 0.1250 0.6250
Ac 0.1250 0.6250 0.6250
Tm 0.0000 0.0000 0.0000
Tm 0.2500 0.2500 0.2500
CELL_PARAMETERS angstrom
-1.6233 -3.0568 -6.2077
4.4428 -4.7279 -2.9024
-1.7765 -6.8784 -0.2171

=====

(2)
! SbPRuO2 | Alexandria via LeMat-Bulk | GGA-PBE | optimized geometry; values from VASP
! space group	P4/mmm (123)
! volume	16.37	A^3/atom
! magnetic moment	0.5376	μB per atom
! E_tot	-27.99	eV for the cell shown
&SYSTEM
  ibrav = 0, nat = 5, ntyp = 4
/
ATOMIC_SPECIES
O 16.00 O.upf
Sb 121.76 Sb.upf
Ru 101.07 Ru.upf
P 30.97 P.upf
ATOMIC_POSITIONS crystal
O 0.0000 0.5000 0.0000
O 0.5000 0.0000 0.0000
Sb 0.0000 0.0000 0.0000
Ru 0.5000 0.5000 0.5000
P 0.0000 0.0000 0.5000
CELL_PARAMETERS angstrom
3.8279 0.0000 0.0000
0.0000 3.8279 0.0000
0.0000 0.0000 5.5853

=====

(3)
! NbVCo | Alexandria via LeMat-Bulk | GGA-PBE | optimized geometry; values from VASP
! E_form	123	meV/atom
! space group	P3m1 (156)
! volume	14.20	A^3/atom
! magnetic moment	0.4654	μB per atom
&SYSTEM
  ibrav = 0, nat = 3, ntyp = 3
/
ATOMIC_SPECIES
V 50.94 V.upf
Nb 92.91 Nb.upf
Co 58.93 Co.upf
ATOMIC_POSITIONS crystal
V 0.6497 0.6667 0.3333
Nb 0.0071 0.0000 0.0000
Co 0.3433 0.3333 0.6667
CELL_PARAMETERS angstrom
2.6506 0.0000 0.0000
0.0000 4.3085 0.0000
0.0000 -2.1542 3.7313

=====

(4)
! KWCl2 | Alexandria via LeMat-Bulk | GGA-PBE | optimized geometry; values from VASP
! space group	Cmm2 (35)
! volume	22.39	A^3/atom
! magnetic moment	0.0000	μB per atom
! E_tot	-16.72	eV for the cell shown
&SYSTEM
  ibrav = 0, nat = 4, ntyp = 3
/
ATOMIC_SPECIES
Cl 35.45 Cl.upf
W 183.84 W.upf
K 39.10 K.upf
ATOMIC_POSITIONS crystal
Cl 0.5000 0.5000 0.2652
Cl 0.0000 0.0000 0.9631
W 0.5000 0.5000 0.7962
K 0.0000 0.0000 0.4755
CELL_PARAMETERS angstrom
3.0536 0.0209 0.0000
-0.9790 2.8925 0.0000
0.0000 0.0000 10.1171